# CaY6Er8, relaxed, DFT PBE-GGA
# Final energy   -5.12 eV per atom
# ΔH_f (0 K)   0.04 eV/atom
data_CaY6Er8
_chemical_formula_sum 'Ca3 Y18 Er24'
_cell_length_a 6.1986
_cell_length_b 6.1986
_cell_length_c 42.9976
_cell_angle_alpha 90.00
_cell_angle_beta 90.00
_cell_angle_gamma 120.00
_symmetry_space_group_name_H-M 'R -3'
_symmetry_Int_Tables_number 148
_symmetry_space_group_name_Hall '-R 3'
loop_
_atom_site_label
_atom_site_type_symbol
_atom_site_fract_x
_atom_site_fract_y
_atom_site_fract_z
Ca1 Ca 0.0000 0.0000 0.0000
Y1 Y 0.0001 0.3396 0.9316
Er1 Er 0.0000 0.0000 0.3333
Er2 Er 0.9999 0.3328 0.1342

=====

# K2Ho2PtO6, relaxed, DFT PBE-GGA
# Formation energy (no corrections)   -2.17 eV/atom
# Final energy   -6.46 eV per atom
data_K2Ho2PtO6
_chemical_formula_sum 'K4 Ho4 Pt2 O12'
_cell_length_a 5.7863
_cell_length_b 9.9393
_cell_length_c 6.5933
_cell_angle_alpha 90.00
_cell_angle_beta 105.29
_cell_angle_gamma 90.00
_symmetry_space_group_name_H-M 'C 1 2/m 1'
_symmetry_Int_Tables_number 12
_symmetry_space_group_name_Hall '-C 2y'
loop_
_atom_site_label
_atom_site_type_symbol
_atom_site_fract_x
_atom_site_fract_y
_atom_site_fract_z
K1 K 0.0000 0.1603 0.0000
Ho1 Ho 0.0000 0.3354 0.5000
Pt1 Pt 0.0000 0.0000 0.5000
O1 O 0.2065 0.1579 0.6735
O2 O 0.2463 0.5000 0.6766